4
Lattice="1.781 1.029 11.049 -1.781 1.029 11.049 0.000 -2.057 11.049" Properties=species:S:1:pos:R:3 comment="PrAlPb2 (PBE, optimized geometry)" dft_energy_ev_per_atom=-3.822 de_polymorph_mev_per_atom=458 ef_kj_per_mol_atoms=16 space_group="No. 166" pbc="T T T"
Pr 0.000 0.000 0.000
Al 0.000 0.000 16.574
Pb 0.000 0.000 3.267
Pb 0.000 0.000 29.881

---

4
Lattice="0.000 3.679 3.679 3.679 0.000 3.679 3.679 3.679 0.000" Properties=species:S:1:pos:R:3 comment="CaMgScHg (PBE, optimized geometry)" dft_energy_ev_per_atom=-2.781 ef_kj_per_mol_atoms=-22 space_group="No. 216" pbc="T T T"
Ca 0.000 0.000 0.000
Mg 5.518 5.518 5.518
Sc 3.679 3.679 3.679
Hg 1.839 1.839 1.839

---

4
Lattice="1.726 0.996 11.333 -1.726 0.996 11.333 0.000 -1.992 11.333" Properties=species:S:1:pos:R:3 comment="PrTm2Zr (PBE, optimized geometry)" dft_energy_ev_per_atom=-5.490 de_polymorph_mev_per_atom=0 ef_kj_per_mol_atoms=7 space_group="No. 166" pbc="T T T"
Pr 0.000 0.000 0.000
Tm 0.000 0.000 8.279
Tm 0.000 0.000 25.719
Zr 0.000 0.000 16.999

---

4
Lattice="0.000 3.328 3.328 3.328 0.000 3.328 3.328 3.328 0.000" Properties=species:S:1:pos:R:3 comment="ZrScNiAg (PBE, optimized geometry)" dft_energy_ev_per_atom=-6.079 ef_kj_per_mol_atoms=-19 space_group="No. 216" pbc="T T T"
Zr 0.000 0.000 0.000
Sc 3.328 3.328 3.328
Ni 4.993 4.993 4.993
Ag 1.664 1.664 1.664